The following is a DFT calculation (PBE-GGA) of an optimized crystal structure of AlIn2Ir.

Output
- raw total energy (eV per atom) = -4.453
- space group = Pmmm (47)
- ΔH_f (0 K) (meV/atom) = 67.6
- Fermi-level density of states (states/eV per atom) = 0.327
- calculated density (g/cm³) = 10.0

Cell: 3.4599 3.9001 5.5353 Å, 90.00 90.00 90.00°
Fractional coordinates of all 4 atoms:
Al 0.0000 0.0000 0.0000
In 0.5000 0.5000 0.2561
In 0.5000 0.5000 0.7439
Ir 0.0000 0.0000 0.5000

The following is a DFT calculation (PBE-GGA) of an optimized crystal structure of AlIn2Ir.

Output
- raw total energy (eV per atom) = -4.579
- space group = R3m (160)
- ΔH_f (0 K) (meV/atom) = -58.8
- Fermi-level density of states (states/eV per atom) = 0.519
- calculated density (g/cm³) = 9.4

Cell: 9.3171 9.3171 9.3171 Å, 19.56 19.56 19.56°
Fractional coordinates of all 4 atoms:
Al 0.0000 0.0000 0.0000
In 0.5252 0.5252 0.5252
In 0.7575 0.7575 0.7575
Ir 0.2707 0.2707 0.2707

The following is a DFT calculation (PBE-GGA) of an optimized crystal structure of AlIn2Ir.

Output
- raw total energy (eV per atom) = -4.416
- space group = Cmmm (65)
- ΔH_f (0 K) (meV/atom) = 103.9
- Fermi-level density of states (states/eV per atom) = 0.543
- calculated density (g/cm³) = 10.0

Cell: 4.9112 4.9112 3.3413 Å, 90.00 90.00 111.83°
Fractional coordinates of all 4 atoms:
Al 0.0000 0.0000 0.0000
In 0.0000 0.5000 0.5000
In 0.5000 0.0000 0.5000
Ir 0.5000 0.5000 0.0000

The following is a DFT calculation (PBE-GGA) of an optimized crystal structure of Al2InIr.

Output
- raw total energy (eV per atom) = -4.896
- space group = P2/m (10)
- ΔH_f (0 K) (meV/atom) = -124.7
- Fermi-level density of states (states/eV per atom) = 0.408
- calculated density (g/cm³) = 8.5

Cell: 3.1513 4.3008 5.3873 Å, 90.00 105.37 90.00°
Fractional coordinates of all 4 atoms:
Al 0.1527 0.0000 0.2734
Al 0.8473 0.0000 0.7266
In 0.5000 0.5000 0.0000
Ir 0.5000 0.5000 0.5000

The following is a DFT calculation (PBE-GGA) of an optimized crystal structure of Al2InIr.

Output
- raw total energy (eV per atom) = -4.912
- space group = I4/mmm (139)
- ΔH_f (0 K) (meV/atom) = -140.4
- Fermi-level density of states (states/eV per atom) = 0.425
- calculated density (g/cm³) = 9.2

Cell: 4.8744 4.8744 4.8744 Å, 130.55 130.55 72.53°
Fractional coordinates of all 4 atoms:
Al 0.2500 0.7500 0.5000
Al 0.7500 0.2500 0.5000
In 0.0000 0.0000 0.0000
Ir 0.5000 0.5000 0.0000

The following is a DFT calculation (PBE-GGA) of an optimized crystal structure of Al2InIr.

Output
- raw total energy (eV per atom) = -4.820
- space group = I-42d (122)
- ΔH_f (0 K) (meV/atom) = -48.5
- Fermi-level density of states (states/eV per atom) = 0.500
- calculated density (g/cm³) = 7.2

Cell: 6.2256 6.2256 6.2256 Å, 100.24 100.24 130.14°
Fractional coordinates of all 8 atoms:
Al 0.0371 0.6250 0.9121
Al 0.3750 0.2871 0.4121
Al 0.7129 0.1250 0.0879
Al 0.8750 0.9629 0.5879
In 0.2500 0.7500 0.5000
In 0.5000 0.5000 0.0000
Ir 0.0000 0.0000 0.0000
Ir 0.7500 0.2500 0.5000

The following is a DFT calculation (PBE-GGA) of an optimized crystal structure of Al2InIr.

Output
- raw total energy (eV per atom) = -4.975
- space group = C2/m (12)
- ΔH_f (0 K) (meV/atom) = -203.9
- Fermi-level density of states (states/eV per atom) = 0.297
- calculated density (g/cm³) = 8.8

Cell: 4.6315 4.6315 5.0737 Å, 99.03 99.03 39.40°
Fractional coordinates of all 4 atoms:
Al 0.2345 0.2345 0.2100
Al 0.7655 0.7655 0.7900
In 0.0000 0.0000 0.5000
Ir 0.5000 0.5000 0.0000

The following is a DFT calculation (PBE-GGA) of an optimized crystal structure of AlIn2Ir.

Output
- raw total energy (eV per atom) = -4.678
- space group = I4_1/amd (141)
- ΔH_f (0 K) (meV/atom) = -157.7
- Fermi-level density of states (states/eV per atom) = 0.000
- calculated density (g/cm³) = 6.1

Cell: 7.5489 7.5489 7.5489 Å, 95.79 95.79 142.96°
Fractional coordinates of all 8 atoms:
Al 0.3750 0.6250 0.7500
Al 0.6250 0.3750 0.2500
In 0.0000 0.0000 0.0000
In 0.0000 0.0000 0.5000
In 0.0000 0.5000 0.0000
In 0.5000 0.0000 0.5000
Ir 0.1250 0.8750 0.2500
Ir 0.8750 0.1250 0.7500

The following is a DFT calculation (PBE-GGA) of an optimized crystal structure of AlIn2Ir.

Output
- raw total energy (eV per atom) = -4.713
- space group = P4mm (99)
- ΔH_f (0 K) (meV/atom) = -192.4
- Fermi-level density of states (states/eV per atom) = 0.350
- calculated density (g/cm³) = 9.4

Cell: 3.0419 3.0419 8.5590 Å, 90.00 90.00 90.00°
Fractional coordinates of all 4 atoms:
Al 0.0000 0.0000 0.0000
In 0.0000 0.0000 0.6066
In 0.5000 0.5000 0.2793
Ir 0.5000 0.5000 0.8409

The following is a DFT calculation (PBE-GGA) of an optimized crystal structure of Al2InIr.

Output
- raw total energy (eV per atom) = -5.007
- space group = R-3m (166)
- ΔH_f (0 K) (meV/atom) = -235.6
- Fermi-level density of states (states/eV per atom) = 0.365
- calculated density (g/cm³) = 8.5

Cell: 8.9262 8.9262 8.9262 Å, 19.62 19.62 19.62°
Fractional coordinates of all 4 atoms:
Al 0.2378 0.2378 0.2378
Al 0.7622 0.7622 0.7622
In 0.0000 0.0000 0.0000
Ir 0.5000 0.5000 0.5000

The following is a DFT calculation (PBE-GGA) of an optimized crystal structure of AlIn2Ir.

Output
- raw total energy (eV per atom) = -4.440
- space group = P2/m (10)
- ΔH_f (0 K) (meV/atom) = 80.0
- Fermi-level density of states (states/eV per atom) = 0.315
- calculated density (g/cm³) = 9.3

Cell: 3.3454 4.7191 5.1336 Å, 90.00 98.07 90.00°
Fractional coordinates of all 4 atoms:
Al 0.0000 0.0000 0.0000
In 0.3063 0.5000 0.7393
In 0.6937 0.5000 0.2607
Ir 0.0000 0.0000 0.5000

The following is a DFT calculation (PBE-GGA) of an optimized crystal structure of Al2InIr.

Output
- raw total energy (eV per atom) = -4.848
- space group = Cmmm (65)
- ΔH_f (0 K) (meV/atom) = -76.4
- Fermi-level density of states (states/eV per atom) = 0.504
- calculated density (g/cm³) = 9.0

Cell: 4.7617 4.7617 3.1093 Å, 90.00 90.00 109.33°
Fractional coordinates of all 4 atoms:
Al 0.0000 0.5000 0.0000
Al 0.5000 0.0000 0.0000
In 0.0000 0.0000 0.5000
Ir 0.5000 0.5000 0.5000

What is the raw total energy in the fourth record?
-4.896 eV per atom

Among the records above, which one has the highest raw total energy?
number 3

Please write out number 11 again, unchanged.
The following is a DFT calculation (PBE-GGA) of an optimized crystal structure of AlIn2Ir.

Output
- raw total energy (eV per atom) = -4.440
- space group = P2/m (10)
- ΔH_f (0 K) (meV/atom) = 80.0
- Fermi-level density of states (states/eV per atom) = 0.315
- calculated density (g/cm³) = 9.3

Cell: 3.3454 4.7191 5.1336 Å, 90.00 98.07 90.00°
Fractional coordinates of all 4 atoms:
Al 0.0000 0.0000 0.0000
In 0.3063 0.5000 0.7393
In 0.6937 0.5000 0.2607
Ir 0.0000 0.0000 0.5000